First-principles (PBE) data for a relaxed structure of NaErSb2O8, as listed in Alexandria via LeMat-Bulk.

Cell lengths 5.8690, 5.8690, 6.9763 Å; angles 90.00, 90.00, 120.00 degrees
Fractional positions:
1 O 0.3188 0.9462 0.1267
2 O 0.6667 0.3333 0.3187
3 O 0.3727 0.3188 0.8733
4 O 0.3333 0.6667 0.6813
5 O 0.0538 0.3727 0.1267
6 O 0.6812 0.0538 0.8733
7 O 0.6273 0.6812 0.1267
8 O 0.9462 0.6273 0.8733
9 Er 0.0000 0.0000 0.0000
10 Sb 0.6667 0.3333 0.0357
11 Sb 0.3333 0.6667 0.9643
12 Na 0.0000 0.0000 0.5000

Output
The total magnetic moment comes out at 2.000 μB per formula unit. As for the uncorrected formation energy: -1289 meV per atom. As for the density: 4.5 Mg/m³. Its space-group type is P-3 (147). Its total energy is -5.772 eV per atom.